## Li2ErAlSe4 (GGA-PBE)

Data for Li2ErAlSe4 after structural relaxation.

The structure belongs to space group Imma (No. 74); the cell edges are 7.644, 7.986 and 11.050 Å and the angles 90.00°, 90.00° and 90.00°. Symmetry generates all atoms from Li at (0.000, 0.000, 0.000), Li at (0.250, 0.250, 0.250), Er at (0.000, 0.000, 0.500), Al at (0.250, 0.250, 0.750), Se at (0.000, 0.026, 0.755) and Se at (0.242, 0.250, 0.994).

As for the magnetization: 0.000 μB/f.u. The value obtained for the formation energy without anion corrections is -1311 meV/atom. For the uncorrected energy, the calculation gives -146.23 eV/cell.